DFT (PBE) results for crystalline RuW at its relaxed geometry.

The energy comes out at -22.04 eV/f.u. The value obtained for the formation energy is 0.19 eV/f.u.

The space group is P-6m2 (No. 187) and the conventional cell measures 2.7952, 2.7952 and 4.4516 Å, with angles of 90.00, 90.00 and 120.00 degrees. The inequivalent atoms are Ru at (0.0000, 0.0000, 0.0000) and W at (0.6667, 0.3333, 0.5000).



DFT (PBE) results for crystalline Ru3W at its relaxed geometry.

The energy comes out at -39.17 eV/f.u. The value obtained for the formation energy is 1.61 eV/f.u.

The space group is Fm-3m (No. 225) and the conventional cell measures 6.203, 6.203 and 6.203 Å, with angles of 90.00, 90.00 and 90.00 degrees. The inequivalent atoms are Ru at (0.000, 0.000, 0.000), Ru at (0.250, 0.250, 0.250) and W at (0.000, 0.000, 0.500).



DFT (PBE) results for crystalline RuW at its relaxed geometry.

The energy comes out at -20.78 eV/f.u. The value obtained for the formation energy is 1.45 eV/f.u.

The space group is P6_3/mmc (No. 194) and the conventional cell measures 3.8514, 3.8514 and 5.3630 Å, with angles of 90.00, 90.00 and 120.00 degrees. The inequivalent atoms are Ru at (0.0000, 0.0000, 0.0000) and W at (0.3333, 0.6667, 0.2500).